A plane-wave DFT calculation with PBE was carried out for YMoPd2Se after structural relaxation.

abc: 5.0160 5.3074 5.0160
angles: 90.00 90.00 90.00
With the nearest neighbours (Å) after each atom.
Positions (direct):
Y 0.0000 0.0000 0.0000  4 Pd 2.51, 2 Se 2.65
Mo 0.5000 0.5000 0.5000  4 Se 3.55, 8 Pd 3.65
Se 0.0000 0.5000 0.0000  2 Y 2.65
Pd 0.0000 0.0000 0.5000  2 Y 2.51
Pd 0.5000 0.0000 0.0000  2 Y 2.51

M_tot = 4.29 μB per formula unit
E_form (uncorrected) = 0.8450 eV/atom
SG = No. 123
Total DFT energy (no corrections) = -5.39 eV/atom

=====

A plane-wave DFT calculation with PBE was carried out for SiMoPd3 after structural relaxation.

abc: 4.7931 4.7931 4.7931
angles: 90.00 90.00 90.00
With the nearest neighbours (Å) after each atom.
Positions (direct):
Mo 0.0000 0.0000 0.0000  6 Pd 2.40
Si 0.5000 0.5000 0.5000  12 Pd 3.39
Pd 0.0000 0.5000 0.0000  2 Mo 2.40
Pd 0.0000 0.0000 0.5000  2 Mo 2.40
Pd 0.5000 0.0000 0.0000  2 Mo 2.40

M_tot = 0.00 μB per formula unit
E_form (uncorrected) = 1.2971 eV/atom
SG = No. 221
E above lowest polymorph = 80.5 kJ per mole of atoms
Total DFT energy (no corrections) = -5.07 eV/atom

=====

A plane-wave DFT calculation with PBE was carried out for SiMoPd3 after structural relaxation.

abc: 4.5007 4.5007 4.5007
angles: 90.00 90.00 90.00
With the nearest neighbours (Å) after each atom.
Positions (direct):
Mo 0.5000 0.5000 0.5000  12 Pd 3.18
Si 0.0000 0.0000 0.0000  6 Pd 2.25
Pd 0.0000 0.5000 0.0000  2 Si 2.25
Pd 0.0000 0.0000 0.5000  2 Si 2.25
Pd 0.5000 0.0000 0.0000  2 Si 2.25

M_tot = 3.96 μB per formula unit
E_form (uncorrected) = 0.4627 eV/atom
SG = No. 221
E above lowest polymorph = 0.0 kJ per mole of atoms
Total DFT energy (no corrections) = -5.90 eV/atom

=====

A plane-wave DFT calculation with PBE was carried out for SiMo2Pd after structural relaxation.

abc: 7.0383 7.0383 5.6110
angles: 51.16 51.16 90.00
With the nearest neighbours (Å) after each atom.
Positions (direct):
Mo 0.5983 0.1250 0.2500  2 Si 2.45, 2 Mo 2.62, 2 Pd 2.70
Mo 0.1517 0.6250 0.2500  2 Si 2.45, 2 Mo 2.62, 2 Pd 2.70
Mo 0.3750 0.4017 0.7500  2 Si 2.45, 2 Mo 2.62, 2 Pd 2.70
Mo 0.8750 0.8483 0.7500  2 Si 2.45, 2 Mo 2.62, 2 Pd 2.70
Si 0.5000 0.5000 0.0000  4 Mo 2.45, 2 Pd 2.59
Si 0.2500 0.7500 0.5000  4 Mo 2.45, 2 Pd 2.59
Pd 0.0000 0.0000 0.0000  2 Si 2.59, 4 Mo 2.70
Pd 0.7500 0.2500 0.5000  2 Si 2.59, 4 Mo 2.70

M_tot = 0.00 μB per formula unit
E_form (uncorrected) = 0.2968 eV/atom
SG = No. 122
Total DFT energy (no corrections) = -7.77 eV/atom

=====

A plane-wave DFT calculation with PBE was carried out for Si2Mo2Pd after structural relaxation.

abc: 6.4287 6.4287 3.4835
angles: 90.00 90.00 90.00
With the nearest neighbours (Å) after each atom.
Positions (direct):
Mo 0.1683 0.6683 0.5000  6 Si 2.52-2.61
Mo 0.6683 0.8317 0.5000  6 Si 2.52-2.61
Mo 0.8317 0.3317 0.5000  6 Si 2.52-2.61
Mo 0.3317 0.1683 0.5000  6 Si 2.52-2.61
Si 0.3681 0.8681 0.0000  1 Si 2.40, 2 Pd 2.51, 6 Mo 2.52-2.61
Si 0.8681 0.6319 0.0000  1 Si 2.40, 2 Pd 2.51, 6 Mo 2.52-2.61
Si 0.6319 0.1319 0.0000  1 Si 2.40, 2 Pd 2.51, 6 Mo 2.52-2.61
Si 0.1319 0.3681 0.0000  1 Si 2.40, 2 Pd 2.51, 6 Mo 2.52-2.61
Pd 0.0000 0.0000 0.0000  4 Si 2.51
Pd 0.5000 0.5000 0.0000  4 Si 2.51

M_tot = 0.00 μB per formula unit
E_form (uncorrected) = -0.3155 eV/atom
SG = No. 127
Total DFT energy (no corrections) = -7.86 eV/atom

=====

A plane-wave DFT calculation with PBE was carried out for Si2MoPd after structural relaxation.

abc: 6.5739 6.5739 5.4852
angles: 53.18 53.18 90.00
With the nearest neighbours (Å) after each atom.
Positions (direct):
Mo 0.5000 0.5000 0.0000  4 Si 2.51
Mo 0.2500 0.7500 0.5000  4 Si 2.51
Si 0.6416 0.1250 0.2500  2 Pd 2.36, 2 Mo 2.51
Si 0.1084 0.6250 0.2500  2 Pd 2.36, 2 Mo 2.51
Si 0.3750 0.3584 0.7500  2 Pd 2.36, 2 Mo 2.51
Si 0.8750 0.8916 0.7500  2 Pd 2.36, 2 Mo 2.51
Pd 0.0000 0.0000 0.0000  4 Si 2.36
Pd 0.7500 0.2500 0.5000  4 Si 2.36

M_tot = 0.00 μB per formula unit
E_form (uncorrected) = 0.1439 eV/atom
SG = No. 122
E above lowest polymorph = 36.0 kJ per mole of atoms
Total DFT energy (no corrections) = -6.57 eV/atom

=====

A plane-wave DFT calculation with PBE was carried out for Si3MoPd after structural relaxation.

abc: 4.6804 4.6804 4.6804
angles: 90.00 90.00 90.00
With the nearest neighbours (Å) after each atom.
Positions (direct):
Mo 0.0000 0.0000 0.0000  6 Si 2.34
Si 0.0000 0.5000 0.0000  2 Mo 2.34
Si 0.0000 0.0000 0.5000  2 Mo 2.34
Si 0.5000 0.0000 0.0000  2 Mo 2.34
Pd 0.5000 0.5000 0.5000  12 Si 3.31

M_tot = 0.00 μB per formula unit
E_form (uncorrected) = 0.6237 eV/atom
SG = No. 221
E above lowest polymorph = 0.0 kJ per mole of atoms
Total DFT energy (no corrections) = -5.83 eV/atom

=====

A plane-wave DFT calculation with PBE was carried out for Si3MoPd after structural relaxation.

abc: 4.6488 4.6488 4.6488
angles: 90.00 90.00 90.00
With the nearest neighbours (Å) after each atom.
Positions (direct):
Mo 0.5000 0.5000 0.5000  12 Si 3.29
Si 0.0000 0.5000 0.0000  2 Pd 2.32
Si 0.0000 0.0000 0.5000  2 Pd 2.32
Si 0.5000 0.0000 0.0000  2 Pd 2.32
Pd 0.0000 0.0000 0.0000  6 Si 2.32

M_tot = 3.71 μB per formula unit
E_form (uncorrected) = 1.1192 eV/atom
SG = No. 221
E above lowest polymorph = 47.8 kJ per mole of atoms
Total DFT energy (no corrections) = -5.34 eV/atom

=====

A plane-wave DFT calculation with PBE was carried out for Si2MoPd after structural relaxation.

abc: 4.2888 4.2888 4.2888
angles: 60.00 60.00 60.00
With the nearest neighbours (Å) after each atom.
Positions (direct):
Mo 0.0000 0.0000 0.0000  8 Si 2.63
Si 0.2500 0.2500 0.2500  4 Mo 2.63, 4 Pd 2.63
Si 0.7500 0.7500 0.7500  4 Mo 2.63, 4 Pd 2.63
Pd 0.5000 0.5000 0.5000  8 Si 2.63

M_tot = 0.00 μB per formula unit
E_form (uncorrected) = -0.2290 eV/atom
SG = No. 225
E above lowest polymorph = 0.0 kJ per mole of atoms
Total DFT energy (no corrections) = -6.95 eV/atom

=====

A plane-wave DFT calculation with PBE was carried out for TlSiMoPd2 after structural relaxation.

abc: 4.4232 5.1499 4.4232
angles: 90.00 90.00 90.00
With the nearest neighbours (Å) after each atom.
Positions (direct):
Tl 0.0000 0.5000 0.0000  2 Si 2.57
Si 0.0000 0.0000 0.0000  4 Pd 2.21
Mo 0.5000 0.5000 0.5000  4 Tl 3.13, 8 Pd 3.39
Pd 0.0000 0.0000 0.5000  2 Si 2.21
Pd 0.5000 0.0000 0.0000  2 Si 2.21

M_tot = 0.00 μB per formula unit
E_form (uncorrected) = 0.8770 eV/atom
SG = No. 123
Total DFT energy (no corrections) = -4.92 eV/atom

=====

A plane-wave DFT calculation with PBE was carried out for SiMo2PdW after structural relaxation.

abc: 4.7195 4.8617 4.7195
angles: 90.00 90.00 90.00
With the nearest neighbours (Å) after each atom.
Positions (direct):
Mo 0.0000 0.0000 0.5000  2 W 2.36
Mo 0.5000 0.0000 0.0000  2 W 2.36
Si 0.5000 0.5000 0.5000  4 Pd 3.34, 8 Mo 3.39
Pd 0.0000 0.5000 0.0000  2 W 2.43
W 0.0000 0.0000 0.0000  4 Mo 2.36, 2 Pd 2.43

M_tot = 0.95 μB per formula unit
E_form (uncorrected) = 1.7966 eV/atom
SG = No. 123
Total DFT energy (no corrections) = -7.25 eV/atom

=====

A plane-wave DFT calculation with PBE was carried out for SnMoPd3 after structural relaxation.

abc: 4.8929 4.8929 4.8929
angles: 90.00 90.00 90.00
With the nearest neighbours (Å) after each atom.
Positions (direct):
Mo 0.5000 0.5000 0.5000  12 Pd 3.46
Sn 0.0000 0.0000 0.0000  6 Pd 2.45
Pd 0.0000 0.5000 0.0000  2 Sn 2.45
Pd 0.0000 0.0000 0.5000  2 Sn 2.45
Pd 0.5000 0.0000 0.0000  2 Sn 2.45

M_tot = 4.28 μB per formula unit
SG = No. 221
E above lowest polymorph = 14.4 kJ per mole of atoms
Total DFT energy (no corrections) = -5.05 eV/atom